Density functional theory data (GGA-PBE) for ErHf2Tc9 after structural relaxation.

Geometry as CIF:
```
data_ErHf2Tc9
_chemical_formula_sum 'Er3 Hf6 Tc27'
_cell_length_a 5.2370
_cell_length_b 5.2370
_cell_length_c 26.0171
_cell_angle_alpha 90.00
_cell_angle_beta 90.00
_cell_angle_gamma 120.00
_space_group_name_H-M_alt 'R -3 m'
_space_group_IT_number 166
_space_group_name_Hall '-R 3 2"'
loop_
_atom_site_label
_atom_site_type_symbol
_atom_site_fract_x
_atom_site_fract_y
_atom_site_fract_z
_atom_site_occupancy
Er1 Er 0.0000 0.0000 0.0000 1
Hf1 Hf 0.0000 0.0000 0.1430 1
Tc1 Tc 0.0000 0.0000 0.3361 1
Tc2 Tc 0.0000 0.0000 0.5000 1
Tc3 Tc 0.0097 0.5049 0.9144 1
```

Output
Energy of formation ... -0.16 eV/atom
Crystal system ... trigonal

---

Density functional theory data (GGA-PBE) for Cd2MoRu after structural relaxation.

Geometry as CIF:
```
data_Cd2MoRu
_chemical_formula_sum 'Cd4 Mo2 Ru2'
_cell_length_a 3.066
_cell_length_b 4.746
_cell_length_c 9.846
_cell_angle_alpha 90.00
_cell_angle_beta 90.00
_cell_angle_gamma 90.00
_space_group_name_H-M_alt 'C m m 2'
_space_group_IT_number 35
loop_
_space_group_symop_operation_xyz
'x,y,z'
'-x,-y,z'
'-x,y,z'
'x,-y,z'
'x+1/2,y+1/2,z'
'-x+1/2,-y+1/2,z'
'-x+1/2,y+1/2,z'
'x+1/2,-y+1/2,z'
loop_
_atom_site_label
_atom_site_type_symbol
_atom_site_fract_x
_atom_site_fract_y
_atom_site_fract_z
_atom_site_occupancy
Cd1 Cd 0.000 0.000 0.000 1
Cd2 Cd 0.000 0.500 0.284 1
Mo1 Mo 0.000 0.000 0.542 1
Ru1 Ru 0.000 0.500 0.751 1
```

Output
Excess energy over the best structure of this formula in the dataset ... 183 meV per atom
Energy of formation ... 0.30 eV/atom
Crystal system ... orthorhombic

---

Density functional theory data (GGA-PBE) for Tb6Nd5Ho after structural relaxation.

Geometry as CIF:
```
data_Tb6Nd5Ho
_chemical_formula_sum 'Tb12 Nd10 Ho2'
_cell_length_a 6.256
_cell_length_b 10.832
_cell_length_c 11.921
_cell_angle_alpha 90.00
_cell_angle_beta 100.05
_cell_angle_gamma 90.00
_space_group_name_H-M_alt 'C 1 2/m 1'
_space_group_IT_number 12
loop_
_space_group_symop_operation_xyz
'x,y,z'
'-x,-y,-z'
'-x,y,-z'
'x,-y,z'
'x+1/2,y+1/2,z'
'-x+1/2,-y+1/2,-z'
'-x+1/2,y+1/2,-z'
'x+1/2,-y+1/2,z'
loop_
_atom_site_label
_atom_site_type_symbol
_atom_site_fract_x
_atom_site_fract_y
_atom_site_fract_z
_atom_site_occupancy
Tb1 Tb 0.249 0.000 0.251 1
Tb2 Tb 0.249 0.166 0.749 1
Nd1 Nd 0.000 0.167 0.000 1
Nd2 Nd 0.000 0.333 0.500 1
Nd3 Nd 0.000 0.500 0.000 1
Ho1 Ho 0.000 0.000 0.500 1
```

Output
Excess energy over the best structure of this formula in the dataset ... 0 meV per atom
Energy of formation ... 0.01 eV/atom
Crystal system ... monoclinic

---

Density functional theory data (GGA-PBE) for Ba2CaNi9 after structural relaxation.

Geometry as CIF:
```
data_Ba2CaNi9
_chemical_formula_sum 'Ba6 Ca3 Ni27'
_cell_length_a 5.1479
_cell_length_b 5.1479
_cell_length_c 25.5963
_cell_angle_alpha 90.00
_cell_angle_beta 90.00
_cell_angle_gamma 120.00
_space_group_name_H-M_alt 'R -3 m'
_space_group_IT_number 166
_space_group_name_Hall '-R 3 2"'
loop_
_atom_site_label
_atom_site_type_symbol
_atom_site_fract_x
_atom_site_fract_y
_atom_site_fract_z
_atom_site_occupancy
Ba1 Ba 0.0000 0.0000 0.1378 1
Ca1 Ca 0.0000 0.0000 0.0000 1
Ni1 Ni 0.0000 0.0000 0.3318 1
Ni2 Ni 0.0000 0.0000 0.5000 1
Ni3 Ni 0.0061 0.5031 0.0748 1
```

Output
Energy of formation ... 0.05 eV/atom
Crystal system ... trigonal

---

Density functional theory data (GGA-PBE) for KDyHgTe3 after structural relaxation.

Geometry as CIF:
```
data_KDyHgTe3
_chemical_formula_sum 'K2 Dy2 Hg2 Te6'
_cell_length_a 9.376
_cell_length_b 4.505
_cell_length_c 10.831
_cell_angle_alpha 90.00
_cell_angle_beta 107.45
_cell_angle_gamma 90.00
_space_group_name_H-M_alt 'P 1 21/m 1'
_space_group_IT_number 11
loop_
_space_group_symop_operation_xyz
'x,y,z'
'-x,-y,-z'
'-x,y+1/2,-z'
'x,-y+1/2,z'
loop_
_atom_site_label
_atom_site_type_symbol
_atom_site_fract_x
_atom_site_fract_y
_atom_site_fract_z
_atom_site_occupancy
K1 K 0.217 0.250 0.252 1
Dy1 Dy 0.326 0.750 0.861 1
Hg1 Hg 0.088 0.250 0.612 1
Te1 Te 0.096 0.250 0.873 1
Te2 Te 0.245 0.750 0.546 1
Te3 Te 0.456 0.750 0.155 1
```

Output
Crystal system ... monoclinic
Final energy ... -42.19 eV/cell

---

Density functional theory data (GGA-PBE) for LaTbPm6Nd2 after structural relaxation.

Geometry as CIF:
```
data_LaTbPm6Nd2
_chemical_formula_sum 'La4 Tb4 Pm24 Nd8'
_cell_length_a 9.212
_cell_length_b 15.445
_cell_length_c 9.973
_cell_angle_alpha 90.00
_cell_angle_beta 99.20
_cell_angle_gamma 90.00
_space_group_name_H-M_alt 'C 1 2/c 1'
_space_group_IT_number 15
loop_
_space_group_symop_operation_xyz
'x,y,z'
'-x,-y,-z'
'-x,y,-z+1/2'
'x,-y,z+1/2'
'x+1/2,y+1/2,z'
'-x+1/2,-y+1/2,-z'
'-x+1/2,y+1/2,-z+1/2'
'x+1/2,-y+1/2,z+1/2'
loop_
_atom_site_label
_atom_site_type_symbol
_atom_site_fract_x
_atom_site_fract_y
_atom_site_fract_z
_atom_site_occupancy
La1 La 0.000 0.096 0.250 1
Tb1 Tb 0.000 0.479 0.750 1
Pm1 Pm 0.065 0.316 0.444 1
Pm2 Pm 0.103 0.104 0.622 1
Pm3 Pm 0.198 0.275 0.817 1
Nd1 Nd 0.239 0.449 0.042 1
```

Output
Energy of formation ... 0.12 eV/atom
Crystal system ... monoclinic

---

Density functional theory data (GGA-PBE) for Na2SeF7 after structural relaxation.

Geometry as CIF:
```
data_Na2SeF7
_chemical_formula_sum 'Na8 Se4 F28'
_cell_length_a 12.262
_cell_length_b 6.376
_cell_length_c 8.873
_cell_angle_alpha 90.00
_cell_angle_beta 126.55
_cell_angle_gamma 90.00
_space_group_name_H-M_alt 'C 1 2/c 1'
_space_group_IT_number 15
loop_
_space_group_symop_operation_xyz
'x,y,z'
'-x,-y,-z'
'-x,y,-z+1/2'
'x,-y,z+1/2'
'x+1/2,y+1/2,z'
'-x+1/2,-y+1/2,-z'
'-x+1/2,y+1/2,-z+1/2'
'x+1/2,-y+1/2,z+1/2'
loop_
_atom_site_label
_atom_site_type_symbol
_atom_site_fract_x
_atom_site_fract_y
_atom_site_fract_z
_atom_site_occupancy
Na1 Na 0.202 0.075 0.312 1
Se1 Se 0.000 0.363 0.750 1
F1 F 0.000 0.063 0.750 1
F2 F 0.090 0.325 0.007 1
F3 F 0.125 0.377 0.363 1
F4 F 0.158 0.292 0.762 1
```

Output
Crystal system ... monoclinic
Final energy ... -155.65 eV/cell

---

Density functional theory data (GGA-PBE) for BaCeSn2 after structural relaxation.

Geometry as CIF:
```
data_BaCeSn2
_chemical_formula_sum 'Ba3 Ce3 Sn6'
_cell_length_a 5.2327
_cell_length_b 5.2327
_cell_length_c 18.5742
_cell_angle_alpha 90.00
_cell_angle_beta 90.00
_cell_angle_gamma 120.00
_space_group_name_H-M_alt 'R -3 m'
_space_group_IT_number 166
_space_group_name_Hall '-R 3 2"'
loop_
_atom_site_label
_atom_site_type_symbol
_atom_site_fract_x
_atom_site_fract_y
_atom_site_fract_z
_atom_site_occupancy
Ba1 Ba 0.0000 0.0000 0.0000 1
Ce1 Ce 0.0000 0.0000 0.5000 1
Sn1 Sn 0.0000 0.0000 0.2268 1
```

Output
Energy of formation ... -0.41 eV/atom
Crystal system ... trigonal